Compound: FeSiAs2
Source: the Alexandria database
Functional: PBE
Structure: optimized geometry

Calculated values
E_tot, eV for the cell shown: -85.3

abc: 6.258 6.258 6.258
angles: 90.00 90.00 90.00
Space group Fm-3m (No. 225)
Unique sites:
1 Fe 0.000 0.000 0.000 x4
2 Si 0.000 0.000 0.500 x4
3 As 0.250 0.250 0.250 x8

***

Compound: AlV2MoH
Source: the Alexandria database
Functional: PBE
Structure: optimized geometry

Calculated values
E_tot, eV for the cell shown: -36.8

abc: 3.840 3.840 4.059
angles: 90.00 90.00 90.00
Space group P4/mmm (No. 123)
Unique sites:
1 Al 0.000 0.000 0.000 x1
2 V 0.000 0.500 0.500 x2
3 Mo 0.500 0.500 0.000 x1
4 H 0.500 0.500 0.500 x1

***

Compound: Sr2ScGaS5
Source: the Alexandria database
Functional: PBE
Structure: optimized geometry

Calculated values
E_tot, eV for the cell shown: -194.7

abc: 3.877 17.546 12.299
angles: 90.00 90.00 90.00
Space group Cmc2_1 (No. 36)
Unique sites:
1 Sr 0.000 0.118 0.000 x4
2 Sr 0.000 0.130 0.636 x4
3 Sc 0.000 0.211 0.343 x4
4 Ga 0.000 0.440 0.754 x4
5 S 0.000 0.051 0.361 x4
6 S 0.000 0.292 0.981 x4
7 S 0.000 0.312 0.695 x4
8 S 0.000 0.351 0.322 x4
9 S 0.000 0.499 0.094 x4

***

Compound: Pm3TmGe6
Source: the Alexandria database
Functional: PBE
Structure: optimized geometry

Calculated values
Formation enthalpy at 0 K, eV/atom: -0.69

abc: 11.8037 11.8037 11.4874
angles: 90.00 90.00 120.00
Space group R-3c (No. 167, hexagonal axes)
Unique sites:
1 Pm 0.0000 0.4326 0.2500 x18
2 Tm 0.0000 0.0000 0.0000 x6
3 Ge 0.0705 0.2161 0.3414 x36

***

Compound: TaTeW
Source: the Alexandria database
Functional: PBE
Structure: optimized geometry

Calculated values
E_tot, eV for the cell shown: -104.6

abc: 3.467 5.135 13.595
angles: 90.00 90.00 90.00
Space group Fmm2 (No. 42)
Unique sites:
1 Ta 0.000 0.000 0.000 x4
2 Te 0.000 0.000 0.678 x4
3 W 0.000 0.000 0.359 x4

***

Compound: Na5AgTeO2
Source: the Alexandria database
Functional: PBE
Structure: optimized geometry

Calculated values
E_tot, eV for the cell shown: -31.6

abc: 4.732 4.732 8.943
angles: 90.00 90.00 90.00
Space group P4/mmm (No. 123)
Unique sites:
1 Na 0.000 0.000 0.000 x1
2 Na 0.000 0.500 0.245 x4
3 Ag 0.000 0.000 0.500 x1
4 Te 0.500 0.500 0.000 x1
5 O 0.000 0.000 0.271 x2

***

Quick rundown of magnetic moment, same order as above: 1.758 0.000 0.000 0.000 0.000 0.000 μB per formula unit
Quick rundown of density of states at the Fermi level, same order as above: 4.0 2.5 0.0 6.1 2.4 0.0 states/eV/f.u.